Density functional theory data (PBE-GGA) for UHgS after structural relaxation.

POSCAR file:
```
UHgS
1.0
0.0732 3.2866 -1.1729
-4.7042 -1.0345 -1.6216
-0.7630 3.1220 9.3035
U S Hg
2 2 2
Cartesian
-4.2999 4.7980 6.4535 U
-1.0941 0.5761 0.0555 U
-1.6865 4.6631 6.7358 S
-3.7075 0.7110 -0.2268 S
-2.2290 3.1087 1.8521 Hg
-3.1650 2.2654 4.6569 Hg
```

V: 27.6 Å³ per atom
M_tot: 0.9 μB per formula unit
E: -5.76 eV/atom